Density functional theory data (PBE) for a geometry-optimized EuIn2As structure.

```
EuIn2As
1.0
5.201 0.000 0.000
0.000 4.414 0.000
0.000 0.000 4.414
As In Eu
1 2 1
direct
0.500 0.500 0.500
0.000 0.500 0.000
0.000 0.000 0.500
0.500 0.000 0.000
```

Output
D(E_F): 2.45 states/eV/f.u.
ΔE to the lowest computed polymorph: 0 meV per atom
Size of the total moment: 6.83 μB/f.u.

Density functional theory data (PBE) for a geometry-optimized EuAsIr structure.

```
EuAsIr
1.0
4.327 0.000 0.000
0.000 4.221 0.000
0.000 -2.110 3.655
Eu Ir As
1 1 1
direct
0.667 0.667 0.333
0.167 0.333 0.667
0.167 0.000 0.000
```

Output
E_tot: -26.07 eV for the cell shown
D(E_F): 8.11 states/eV/f.u.
Size of the total moment: 6.76 μB/f.u.

Density functional theory data (PBE) for a geometry-optimized EuAs2Ir structure.

```
EuAs2Ir
1.0
-0.268 4.079 0.089
-3.640 1.818 -0.396
-1.998 1.797 5.506
As Ir Eu
2 1 1
direct
0.274 0.274 0.178
0.726 0.726 0.822
0.000 0.000 0.000
0.500 0.500 0.500
```

Output
E_tot: -31.43 eV for the cell shown
D(E_F): 2.96 states/eV/f.u.
Size of the total moment: 6.69 μB/f.u.

Density functional theory data (PBE) for a geometry-optimized KEu2As structure.

```
KEu2As
1.0
-1.169 3.184 -2.758
0.210 -0.661 -4.316
-11.297 -3.127 -2.285
K Eu As
1 2 1
direct
0.000 0.000 0.000
0.121 0.121 0.638
0.879 0.879 0.362
0.500 0.500 0.500
```

Output
E_tot: -28.61 eV for the cell shown
D(E_F): 21.09 states/eV/f.u.
Size of the total moment: 14.67 μB/f.u.

Repeat the first record exactly.
Density functional theory data (PBE) for a geometry-optimized EuIn2As structure.

```
EuIn2As
1.0
5.201 0.000 0.000
0.000 4.414 0.000
0.000 0.000 4.414
As In Eu
1 2 1
direct
0.500 0.500 0.500
0.000 0.500 0.000
0.000 0.000 0.500
0.500 0.000 0.000
```

Output
D(E_F): 2.45 states/eV/f.u.
ΔE to the lowest computed polymorph: 0 meV per atom
Size of the total moment: 6.83 μB/f.u.